[1]
Material: La7Pr2Ho
Method: DFT, GGA-PBE
State: relaxed

## Properties
DOS(E_F) (states/eV per cell): 17.4
Energy relative to the lowest polymorph listed for this composition (meV per atom): 424.3

abc: 5.621 9.354 9.354
angles: 122.47 90.00 90.00
Fractional coordinates of all 10 atoms:
La 0.000 0.761 0.239
La 0.000 0.239 0.761
La 0.500 0.074 0.299
La 0.500 0.926 0.701
La 0.500 0.299 0.074
La 0.500 0.701 0.926
La 0.500 0.500 0.500
Pr 0.500 0.701 0.299
Pr 0.500 0.299 0.701
Ho 0.000 0.000 0.000


[2]
Material: La2Pr3Ho6
Method: DFT, GGA-PBE
State: relaxed

## Properties
DOS(E_F) (states/eV per cell): 16.5
Energy relative to the lowest polymorph listed for this composition (meV per atom): 64.0

abc: 4.825 4.825 17.028
angles: 98.14 98.14 90.00
Fractional coordinates of all 11 atoms:
La 0.454 0.454 0.908
La 0.546 0.546 0.092
Pr 0.000 0.000 0.000
Pr 0.795 0.795 0.590
Pr 0.205 0.205 0.410
Ho 0.121 0.621 0.242
Ho 0.621 0.121 0.242
Ho 0.879 0.379 0.758
Ho 0.379 0.879 0.758
Ho 0.691 0.691 0.382
Ho 0.309 0.309 0.618


[3]
Material: La3Pr7Ho2
Method: DFT, GGA-PBE
State: relaxed

## Properties
DOS(E_F) (states/eV per cell): 21.3
Energy relative to the lowest polymorph listed for this composition (meV per atom): 156.1

abc: 6.750 6.750 12.042
angles: 73.72 73.72 60.00
Fractional coordinates of all 12 atoms:
La 0.000 0.000 0.000
La 0.151 0.151 0.548
La 0.849 0.849 0.452
Pr 0.500 0.500 0.500
Pr 0.078 0.586 0.749
Pr 0.586 0.586 0.749
Pr 0.586 0.078 0.749
Pr 0.922 0.414 0.251
Pr 0.414 0.922 0.251
Pr 0.414 0.414 0.251
Ho 0.334 0.334 0.998
Ho 0.666 0.666 0.002


[4]
Material: La8Pr3Ho
Method: DFT, GGA-PBE
State: relaxed

## Properties
DOS(E_F) (states/eV per cell): 20.3

abc: 8.648 8.648 8.648
angles: 94.36 117.51 117.52
Fractional coordinates of all 12 atoms:
La 0.499 0.246 0.246
La 0.501 0.746 0.746
La 0.000 0.754 0.254
La 0.000 0.254 0.754
La 0.243 0.371 0.371
La 0.757 0.128 0.128
La 0.000 0.629 0.872
La 0.000 0.872 0.629
Pr 0.500 0.750 0.250
Pr 0.500 0.250 0.750
Pr 0.000 0.500 0.500
Ho 0.000 0.000 0.000


[5]
Material: La12PrHo6
Method: DFT, GGA-PBE
State: relaxed

## Properties
DOS(E_F) (states/eV per cell): 32.0

abc: 8.992 9.714 9.714
angles: 69.07 72.03 107.97
Fractional coordinates of all 19 atoms:
La 0.524 0.842 0.265
La 0.682 0.892 0.842
La 0.789 0.265 0.892
La 0.476 0.158 0.735
La 0.318 0.108 0.158
La 0.211 0.735 0.108
La 0.265 0.426 0.629
La 0.106 0.371 0.055
La 0.161 0.055 0.574
La 0.735 0.574 0.371
La 0.894 0.629 0.945
La 0.839 0.945 0.426
Pr 0.000 0.000 0.000
Ho 0.421 0.470 0.212
Ho 0.049 0.682 0.530
Ho 0.367 0.788 0.682
Ho 0.579 0.530 0.788
Ho 0.951 0.318 0.470
Ho 0.633 0.212 0.318


[6]
Material: La15Pr2Ho2
Method: DFT, GGA-PBE
State: relaxed

## Properties
DOS(E_F) (states/eV per cell): 32.0

abc: 9.057 9.057 9.057
angles: 76.91 76.91 76.91
Fractional coordinates of all 19 atoms:
La 0.000 0.500 0.000
La 0.000 0.000 0.500
La 0.500 0.000 0.000
La 0.295 0.000 0.705
La 0.705 0.295 0.000
La 0.000 0.705 0.295
La 0.295 0.705 0.000
La 0.000 0.295 0.705
La 0.705 0.000 0.295
La 0.392 0.832 0.392
La 0.392 0.392 0.832
La 0.832 0.392 0.392
La 0.608 0.168 0.608
La 0.608 0.608 0.168
La 0.168 0.608 0.608
Pr 0.700 0.700 0.700
Pr 0.300 0.300 0.300
Ho 0.912 0.912 0.912
Ho 0.088 0.088 0.088


[7]
Material: LaPr3Ho2
Method: DFT, GGA-PBE
State: relaxed

## Properties
DOS(E_F) (states/eV per cell): 18.2
Energy relative to the lowest polymorph listed for this composition (meV per atom): 0.0

abc: 6.803 6.803 11.586
angles: 64.78 64.78 63.39
Fractional coordinates of all 12 atoms:
La 0.256 0.744 0.250
La 0.744 0.256 0.750
Pr 0.255 0.745 0.750
Pr 0.745 0.255 0.250
Pr 0.164 0.167 0.917
Pr 0.833 0.836 0.583
Pr 0.167 0.164 0.417
Pr 0.836 0.833 0.083
Ho 0.666 0.665 0.418
Ho 0.665 0.666 0.918
Ho 0.335 0.334 0.082
Ho 0.334 0.335 0.582


[8]
Material: La5PrHo4
Method: DFT, GGA-PBE
State: relaxed

## Properties
DOS(E_F) (states/eV per cell): 16.3

abc: 3.705 3.705 25.194
angles: 90.00 90.00 90.00
Fractional coordinates of all 10 atoms:
La 0.500 0.500 0.104
La 0.500 0.500 0.303
La 0.500 0.500 0.500
La 0.500 0.500 0.697
La 0.500 0.500 0.896
Pr 0.000 0.000 0.000
Ho 0.000 0.000 0.204
Ho 0.000 0.000 0.401
Ho 0.000 0.000 0.599
Ho 0.000 0.000 0.796


| no. | ΔH_f (0 K) (eV per atom) | V (Å³/f.u.) |
| --- | --- | --- |
| 1 | 0.55 | 414.9 |
| 2 | 0.25 | 388.3 |
| 3 | 0.25 | 449.6 |
| 4 | 0.48 | 473.1 |
| 5 | 0.02 | 664.9 |
| 6 | 0.21 | 692.7 |
| 7 | 0.06 | 207.5 |
| 8 | 0.02 | 345.8 |